No. 1
The following is a GGA-PBE calculation of an optimized crystal structure of GaHg6, from Alexandria.

## Properties
* calculated formation energy: 0.0424 eV per atom
* total magnetic moment: 0.0 μB per cell
* total energy: -0.65 eV per atom

Unit cell a=9.2262 b=5.3444 c=8.2495 alpha=90.00 beta=116.65 gamma=90.00
Last column: nearest neighbours and their distance in Å.
Space group C2/m (No. 12)
Inequivalent atoms, fractional coordinates:
Ga 0.0000 0.0000 0.0000 [2 per cell]  8 Hg 3.09-3.44
Hg 0.0848 0.5000 0.7160 [4 per cell]  8 Hg 3.19-3.34, 1 Ga 3.48
Hg 0.1335 0.0000 0.4168 [4 per cell]  1 Ga 3.09, 7 Hg 3.23-3.32
Hg 0.2028 0.5000 0.1435 [4 per cell]  3 Ga 3.17-3.44, 6 Hg 3.19-3.41

---

No. 2
The following is a GGA-PBE calculation of an optimized crystal structure of GaHg12, from Alexandria.

## Properties
* calculated formation energy: 0.0215 eV per atom
* total magnetic moment: 0.0 μB per cell
* total energy: -0.49 eV per atom

Unit cell a=8.9198 b=8.9198 c=8.9198 alpha=90.00 beta=90.00 gamma=90.00
Last column: nearest neighbours and their distance in Å.
Space group Im-3 (No. 204)
Inequivalent atoms, fractional coordinates:
Ga 0.0000 0.0000 0.0000 [2 per cell]  12 Hg 3.27
Hg 0.0000 0.1789 0.3194 [24 per cell]  10 Hg 3.19-3.50, 1 Ga 3.27

---

- Look up the total magnetic moment of the first one.
  0.0 μB per cell